LiPm6In5 | PBE-GGA | relaxed

Summary:
spin magnetization	0.000	μB per cell
ΔE_f	-0.431	eV/atom
electronic total energy	-4.1069	eV per atom

Cell lengths 5.452, 16.384, 7.624 Å; angles 90.00, 90.00, 90.00 degrees
Space group Cmmm (No. 65)
Asymmetric unit:
Li 0.000 0.000 0.000
Pm 0.000 0.168 0.247
Pm 0.000 0.500 0.252
In 0.000 0.000 0.500
In 0.000 0.333 0.500
In 0.000 0.341 0.000